(1)
Crystalline LaSm6Ho8 at its relaxed geometry, computed with PBE.

Output
E_form ... 12.64 kJ per mole of atoms

abc: 9.0773 9.0773 20.8310
angles: 90.00 90.00 120.00
Space group R-3 (No. 148, hexagonal axes)
Inequivalent atoms, fractional coordinates:
La1 0.0000 0.0000 0.0000 (multiplicity 3)
Sm1 0.0603 0.8145 0.7096 (multiplicity 18)
Ho1 0.0000 0.0000 0.4233 (multiplicity 6)
Ho2 0.0799 0.5257 0.8082 (multiplicity 18)

***

(2)
Crystalline Cs2HoNp3O12 at its relaxed geometry, computed with PBE.

Output
E_tot ... -8.586 eV per atom

abc: 7.9908 7.9908 18.8671
angles: 90.00 90.00 120.00
Space group R-3m (No. 166, hexagonal axes)
Inequivalent atoms, fractional coordinates:
Cs1 0.0000 0.0000 0.1216 (multiplicity 6)
Ho1 0.0000 0.0000 0.5000 (multiplicity 3)
Np1 0.0000 0.5000 0.0000 (multiplicity 9)
O1 0.0625 0.5312 0.1005 (multiplicity 18)
O2 0.0791 0.5396 0.3513 (multiplicity 18)

***

(3)
Crystalline Ta5NbOs2 at its relaxed geometry, computed with PBE.

Output
E_form ... -19.09 kJ per mole of atoms

abc: 4.522 5.547 5.779
angles: 70.04 89.85 89.95
Space group P1 (No. 1)
Inequivalent atoms, fractional coordinates:
Ta1 0.000 0.000 0.000 (multiplicity 1)
Ta2 0.000 0.001 0.500 (multiplicity 1)
Ta3 0.000 0.506 0.492 (multiplicity 1)
Ta4 0.500 0.252 0.744 (multiplicity 1)
Ta5 0.500 0.256 0.243 (multiplicity 1)
Nb1 0.000 0.506 0.993 (multiplicity 1)
Os1 0.500 0.755 0.246 (multiplicity 1)
Os2 0.500 0.755 0.743 (multiplicity 1)

***

(4)
Crystalline CePrDyPu at its relaxed geometry, computed with PBE.

Output
E_form ... 27.75 kJ per mole of atoms

abc: 7.974 7.974 7.974
angles: 90.00 90.00 90.00
Space group F-43m (No. 216)
Inequivalent atoms, fractional coordinates:
Ce1 0.000 0.000 0.000 (multiplicity 4)
Pr1 0.250 0.250 0.750 (multiplicity 4)
Dy1 0.250 0.250 0.250 (multiplicity 4)
Pu1 0.000 0.000 0.500 (multiplicity 4)

***

(5)
Crystalline Tb2PmNdDy at its relaxed geometry, computed with PBE.

Output
E_form ... 37.05 kJ per mole of atoms

abc: 8.446 11.610 7.173
angles: 90.00 90.00 90.00
Space group Cmcm (No. 63)
Inequivalent atoms, fractional coordinates:
Tb1 0.187 0.000 0.000 (multiplicity 8)
Pm1 0.000 0.497 0.250 (multiplicity 4)
Nd1 0.000 0.229 0.250 (multiplicity 4)
Dy1 0.000 0.225 0.750 (multiplicity 4)

***

(6)
Crystalline Er11Hg9Au4 at its relaxed geometry, computed with PBE.

Output
E_form ... -58.24 kJ per mole of atoms

abc: 14.567 21.754 3.682
angles: 90.00 90.00 90.00
Space group Cmmm (No. 65)
Inequivalent atoms, fractional coordinates:
Er1 0.000 0.000 0.000 (multiplicity 2)
Er2 0.000 0.167 0.000 (multiplicity 4)
Er3 0.000 0.361 0.000 (multiplicity 4)
Er4 0.213 0.500 0.000 (multiplicity 4)
Er5 0.244 0.171 0.000 (multiplicity 8)
Hg1 0.000 0.500 0.500 (multiplicity 2)
Hg2 0.110 0.258 0.500 (multiplicity 8)
Hg3 0.132 0.077 0.500 (multiplicity 8)
Au1 0.148 0.402 0.500 (multiplicity 8)

***

(7)
Crystalline Ce2PmNi at its relaxed geometry, computed with PBE.

Output
E_form ... -6.70 kJ per mole of atoms
Energy above the lowest structure with this stoichiometry ... 0 meV per atom

abc: 3.540 3.540 8.246
angles: 90.00 90.00 90.00
Space group P4/mmm (No. 123)
Inequivalent atoms, fractional coordinates:
Ce1 0.000 0.000 0.179 (multiplicity 2)
Pm1 0.500 0.500 0.500 (multiplicity 1)
Ni1 0.500 0.500 0.000 (multiplicity 1)

***

(8)
Crystalline Nd2HgPb4 at its relaxed geometry, computed with PBE.

Output
E_form ... -33.87 kJ per mole of atoms
Energy above the lowest structure with this stoichiometry ... 0 meV per atom

abc: 9.354 9.689 4.791
angles: 90.00 90.00 90.00
Space group Cmmm (No. 65)
Inequivalent atoms, fractional coordinates:
Nd1 0.000 0.244 0.000 (multiplicity 4)
Hg1 0.000 0.000 0.500 (multiplicity 2)
Pb1 0.236 0.500 0.000 (multiplicity 4)
Pb2 0.250 0.250 0.500 (multiplicity 4)